*a*
Material: ZnCdSb2
Method: DFT, PBE
State: optimized geometry

Results
- D(E_F): 2.57 states/eV/cell

Lattice parameters (Å, degrees): 9.9419 9.9419 9.9419 19.67 19.67 19.67
With the nearest neighbours (Å) after each atom.
Sites, in units of the cell vectors:
Cd  0.7590  0.7590  0.7590  3 Zn 2.87, 3 Sb 3.18
Sb  0.2369  0.2369  0.2369  3 Zn 2.90
Sb  0.0068  0.0068  0.0068  3 Cd 3.18, 6 Sb 3.40
Zn  0.4973  0.4973  0.4973  3 Cd 2.87, 3 Sb 2.90

=====

*b*
Material: ZnCdSb2
Method: DFT, PBE
State: optimized geometry

Results
- D(E_F): 1.91 states/eV/cell

Lattice parameters (Å, degrees): 5.3930 5.3930 3.3937 90.00 90.00 101.57
With the nearest neighbours (Å) after each atom.
Sites, in units of the cell vectors:
Sb  0.0000  0.0000  0.0000  4 Zn 3.19, 4 Cd 3.19, 4 Sb 3.39-3.41
Sb  0.5000  0.5000  0.0000  4 Cd 3.19, 4 Zn 3.19, 4 Sb 3.39-3.41
Cd  0.0000  0.5000  0.5000  8 Sb 3.19, 2 Cd 3.39, 2 Zn 3.41
Zn  0.5000  0.0000  0.5000  8 Sb 3.19, 2 Zn 3.39, 2 Cd 3.41

=====

If we sort the structures by their calculated energies, the order from most to least stable is *a*, *b*.

=====

*a*
Material: ZnCdSb2
Method: DFT, PBE
State: optimized geometry

Results
- D(E_F): 1.83 states/eV/cell

Lattice parameters (Å, degrees): 3.4516 3.4516 8.0519 90.00 90.00 90.00
With the nearest neighbours (Å) after each atom.
Sites, in units of the cell vectors:
Sb  0.0000  0.0000  0.4695  4 Zn 3.01, 4 Cd 3.33
Sb  0.0000  0.0000  0.0305  4 Zn 3.01, 4 Cd 3.33
Zn  0.5000  0.5000  0.2500  8 Sb 3.01
Cd  0.5000  0.5000  0.7500  8 Sb 3.33, 4 Cd 3.45

=====

*b*
Material: ZnCdSb2
Method: DFT, PBE
State: optimized geometry

Results
- D(E_F): 1.58 states/eV/cell

Lattice parameters (Å, degrees): 4.4220 4.4220 6.7759 73.89 73.89 54.55
With the nearest neighbours (Å) after each atom.
Sites, in units of the cell vectors:
Sb  0.0160  0.0160  0.0343  3 Zn 2.68-2.95, 2 Cd 3.00
Sb  0.4840  0.4840  0.4657  3 Zn 2.68-2.95, 2 Cd 3.00
Zn  0.2500  0.2500  0.2500  6 Sb 2.68-2.95
Cd  0.7500  0.7500  0.7500  6 Sb 3.00-3.26

=====

*c*
Material: ZnCdSb2
Method: DFT, PBE
State: optimized geometry

Results
- D(E_F): 5.13 states/eV/cell

Lattice parameters (Å, degrees): 6.6451 5.5334 11.5039 90.00 90.00 90.00
With the nearest neighbours (Å) after each atom.
Sites, in units of the cell vectors:
Cd  0.5633  0.5002  0.8530  4 Sb 2.93-3.15
Cd  0.4367  0.4998  0.1470  4 Sb 2.93-3.15
Cd  0.5633  0.9998  0.6470  4 Sb 2.93-3.15
Cd  0.4367  0.0002  0.3530  4 Sb 2.93-3.15
Sb  0.3368  0.9998  0.0853  2 Zn 2.71-2.89, 1 Sb 2.93, 2 Cd 2.93
Sb  0.8816  0.0000  0.3396  3 Zn 2.70-2.84, 1 Cd 2.96
Sb  0.1184  0.0000  0.6604  3 Zn 2.70-2.84, 1 Cd 2.96
Sb  0.6632  0.0002  0.9147  2 Zn 2.71-2.89, 1 Sb 2.93, 2 Cd 2.93
Sb  0.1184  0.5000  0.8396  3 Zn 2.70-2.84, 1 Cd 2.96
Sb  0.6632  0.4998  0.5853  2 Zn 2.71-2.89, 1 Sb 2.93, 2 Cd 2.93
Sb  0.3368  0.5002  0.4147  2 Zn 2.71-2.89, 1 Sb 2.93, 2 Cd 2.93
Sb  0.8816  0.5000  0.1604  3 Zn 2.70-2.84, 1 Cd 2.96
Zn  0.9034  0.5000  0.3950  5 Sb 2.70-2.89, 1 Zn 2.74
Zn  0.9034  0.0000  0.1050  5 Sb 2.70-2.89, 1 Zn 2.74
Zn  0.0966  0.0000  0.8950  5 Sb 2.70-2.89, 1 Zn 2.74
Zn  0.0966  0.5000  0.6050  5 Sb 2.70-2.89, 1 Zn 2.74

=====

If we sort the structures by their calculated energies, the order from most to least stable is *c*, *b*, *a*.

=====

*a*
Material: ZnCdSb2
Method: DFT, PBE
State: optimized geometry

Results
- D(E_F): 2.23 states/eV/cell

Lattice parameters (Å, degrees): 5.5672 5.5672 5.5672 136.60 122.22 74.94
With the nearest neighbours (Å) after each atom.
Sites, in units of the cell vectors:
Sb  0.5270  0.5270  0.0000  2 Zn 2.85
Sb  0.9730  0.9730  0.0000  2 Zn 2.85
Zn  0.7500  0.2500  0.5000  4 Sb 2.85
Cd  0.2500  0.7500  0.5000  8 Sb 3.20-3.33, 4 Zn 3.39

=====

*b*
Material: ZnCdSb2
Method: DFT, PBE
State: optimized geometry

Results
- D(E_F): 2.14 states/eV/cell

Lattice parameters (Å, degrees): 4.1664 5.4191 4.3467 90.00 90.00 90.00
With the nearest neighbours (Å) after each atom.
Sites, in units of the cell vectors:
Sb  0.5000  0.5000  0.0000  4 Cd 3.01
Sb  0.0000  0.0000  0.0000  4 Zn 3.01
Zn  0.5000  0.0000  0.5000  4 Sb 3.01
Cd  0.0000  0.5000  0.5000  4 Sb 3.01

=====

If we sort the structures by their calculated energies, the order from most to least stable is *a*, *b*.

=====

*a*
Material: ZnCdSb2
Method: DFT, PBE
State: optimized geometry

Results
- D(E_F): 1.77 states/eV/cell

Lattice parameters (Å, degrees): 4.0692 3.0693 8.2821 97.11 90.00 90.00
With the nearest neighbours (Å) after each atom.
Sites, in units of the cell vectors:
Sb  0.0000  0.0431  0.0189  2 Zn 2.81, 2 Cd 3.07, 2 Sb 3.07
Sb  0.0000  0.4569  0.4811  2 Zn 2.81, 2 Cd 3.07, 2 Sb 3.07
Zn  0.5000  0.2500  0.2500  4 Sb 2.81, 2 Zn 3.07
Cd  0.5000  0.7500  0.7500  4 Sb 3.07, 2 Cd 3.07

=====

*b*
Material: ZnCdSb2
Method: DFT, PBE
State: optimized geometry

Results
- D(E_F): 1.08 states/eV/cell

Lattice parameters (Å, degrees): 4.7299 4.7299 6.3499 70.98 70.98 52.10
With the nearest neighbours (Å) after each atom.
Sites, in units of the cell vectors:
Sb  0.0356  0.0356  0.0450  3 Cd 2.80-3.04, 2 Sb 3.06
Sb  0.7193  0.7193  0.6876  3 Zn 2.71-2.96
Zn  0.4803  0.4803  0.4981  3 Sb 2.71-2.96, 1 Cd 2.72
Cd  0.2649  0.2649  0.2694  1 Zn 2.72, 3 Sb 2.80-3.04

=====

*c*
Material: ZnCdSb2
Method: DFT, PBE
State: optimized geometry

Results
- D(E_F): 1.65 states/eV/cell

Lattice parameters (Å, degrees): 6.6260 6.6260 6.6260 144.87 142.83 52.07
With the nearest neighbours (Å) after each atom.
Sites, in units of the cell vectors:
Zn  0.5241  0.5241  0.0000  4 Sb 2.95, 2 Cd 2.99
Cd  0.2018  0.7018  0.5000  2 Zn 2.99, 6 Sb 3.09-3.27
Sb  0.9842  0.9842  0.0000  4 Zn 2.95, 2 Sb 3.06, 2 Cd 3.27
Sb  0.7899  0.2899  0.5000  2 Sb 3.06, 4 Cd 3.09

=====

*d*
Material: ZnCdSb2
Method: DFT, PBE
State: optimized geometry

Results
- D(E_F): 0.31 states/eV/cell

Lattice parameters (Å, degrees): 6.4155 8.1541 8.4536 90.00 90.00 90.00
With the nearest neighbours (Å) after each atom.
Sites, in units of the cell vectors:
Zn  0.5612  0.6052  0.6248  4 Sb 2.74-2.93, 1 Cd 2.97
Zn  0.9388  0.3948  0.1248  4 Sb 2.74-2.93, 1 Cd 2.97
Zn  0.4388  0.1052  0.8752  4 Sb 2.74-2.93, 1 Cd 2.97
Zn  0.0612  0.8948  0.3752  4 Sb 2.74-2.93, 1 Cd 2.97
Sb  0.8423  0.9385  0.9021  3 Cd 2.81-2.92, 1 Sb 2.85, 1 Zn 2.93
Sb  0.6268  0.4074  0.8857  3 Zn 2.74-2.85, 1 Sb 2.85
Sb  0.3732  0.9074  0.6143  3 Zn 2.74-2.85, 1 Sb 2.85
Sb  0.1577  0.4385  0.5979  3 Cd 2.81-2.92, 1 Sb 2.85, 1 Zn 2.93
Sb  0.6577  0.0615  0.4021  3 Cd 2.81-2.92, 1 Sb 2.85, 1 Zn 2.93
Sb  0.1268  0.0926  0.1143  3 Zn 2.74-2.85, 1 Sb 2.85
Sb  0.8732  0.5926  0.3857  3 Zn 2.74-2.85, 1 Sb 2.85
Sb  0.3423  0.5615  0.0979  3 Cd 2.81-2.92, 1 Sb 2.85, 1 Zn 2.93
Cd  0.4796  0.3734  0.3611  4 Sb 2.81-3.10, 1 Zn 2.97
Cd  0.0204  0.6266  0.8611  4 Sb 2.81-3.10, 1 Zn 2.97
Cd  0.9796  0.1266  0.6389  4 Sb 2.81-3.10, 1 Zn 2.97
Cd  0.5204  0.8734  0.1389  4 Sb 2.81-3.10, 1 Zn 2.97

=====

If we sort the structures by their calculated energies, the order from most to least stable is *d*, *b*, *a*, *c*.

=====

*a*
Material: ZnCdSb2
Method: DFT, PBE
State: optimized geometry

Results
- D(E_F): 0.38 states/eV/cell

Lattice parameters (Å, degrees): 4.7424 4.7424 8.0137 56.45 56.45 60.41
With the nearest neighbours (Å) after each atom.
Sites, in units of the cell vectors:
Sb  0.0351  0.0351  0.8602  3 Zn 2.73-2.81, 1 Sb 2.90
Sb  0.2035  0.2035  0.4127  3 Cd 2.80-2.81, 1 Sb 2.90
Cd  0.5977  0.5977  0.3191  4 Sb 2.80-3.08, 1 Zn 2.98
Zn  0.6637  0.6637  0.9080  3 Sb 2.73-2.81, 1 Cd 2.98

=====

*b*
Material: ZnCdSb2
Method: DFT, PBE
State: optimized geometry

Results
- D(E_F): 1.91 states/eV/cell

Lattice parameters (Å, degrees): 5.8026 5.1092 4.5835 74.87 70.71 114.81
With the nearest neighbours (Å) after each atom.
Sites, in units of the cell vectors:
Zn  0.0000  0.5000  0.5000  4 Sb 2.95, 2 Cd 3.05
Sb  0.0000  0.0000  0.0000  2 Cd 2.95, 2 Zn 2.95, 2 Sb 3.05
Sb  0.5000  0.0000  0.5000  2 Zn 2.95, 2 Cd 2.95, 2 Sb 3.05
Cd  0.5000  0.5000  0.0000  4 Sb 2.95, 2 Zn 3.05

=====

If we sort the structures by their calculated energies, the order from most to least stable is *a*, *b*.